No. 1
An optimized crystal structure of BaIn2Au, computed with GGA-PBE.

The value obtained for the energy relative to the elements is -34 kJ/mol of atoms.

It has space group Imm2 (No. 44), with a = 5.297 Å, b = 5.674 Å, c = 7.694 Å, α = 90.00°, β = 90.00° and γ = 90.00°. Symmetry generates all atoms from Ba at (0.000, 0.000, 0.000), In at (0.000, 0.000, 0.514), In at (0.000, 0.500, 0.766) and Au at (0.000, 0.500, 0.222).

No. 2
An optimized crystal structure of BaIn3Au3, computed with GGA-PBE.

As for the relative energy among the computed polymorphs: 0.75 eV per formula unit. The value obtained for the energy relative to the elements is -25 kJ/mol of atoms.

It has space group Pm-3n (No. 223), with a = 7.637 Å, b = 7.637 Å, c = 7.637 Å, α = 90.00°, β = 90.00° and γ = 90.00°. Symmetry generates all atoms from Ba at (0.000, 0.000, 0.000), In at (0.000, 0.250, 0.500) and Au at (0.000, 0.500, 0.250).

No. 3
An optimized crystal structure of Ba2In7Au12, computed with GGA-PBE.

The value obtained for the energy relative to the elements is -31 kJ/mol of atoms.

It has space group P-3 (No. 147), with a = 10.6200 Å, b = 10.6200 Å, c = 5.2864 Å, α = 90.00°, β = 90.00° and γ = 120.00°. Symmetry generates all atoms from Ba at (0.3333, 0.6667, 0.2775), In at (0.0000, 0.0000, 0.5000), In at (0.0952, 0.7272, 0.8532), Au at (0.0676, 0.4615, 0.7104) and Au at (0.1342, 0.8435, 0.3456).

No. 4
An optimized crystal structure of Ba2In2Au, computed with GGA-PBE.

As for the relative energy among the computed polymorphs: 0.00 eV per formula unit. The value obtained for the energy relative to the elements is -49 kJ/mol of atoms.

It has space group C2/m (No. 12), with a = 12.905 Å, b = 4.590 Å, c = 12.789 Å, α = 90.00°, β = 112.49° and γ = 90.00°. Symmetry generates all atoms from Ba at (0.014, 0.000, 0.163), Ba at (0.190, 0.000, 0.619), In at (0.028, 0.500, 0.390), In at (0.193, 0.500, 0.056) and Au at (0.179, 0.500, 0.818).

No. 5
An optimized crystal structure of Ba2In3Au9, computed with GGA-PBE.

The value obtained for the energy relative to the elements is -39 kJ/mol of atoms.

It has space group C2/c (No. 15), with a = 15.088 Å, b = 8.224 Å, c = 11.714 Å, α = 90.00°, β = 115.96° and γ = 90.00°. Symmetry generates all atoms from Ba at (0.168, 0.082, 0.243), In at (0.083, 0.214, 0.491), In at (0.250, 0.250, 0.000), Au at (0.000, 0.367, 0.250), Au at (0.053, 0.122, 0.903), Au at (0.100, 0.423, 0.058), Au at (0.108, 0.338, 0.741) and Au at (0.217, 0.412, 0.431).

No. 6
An optimized crystal structure of Ba2In2Au5, computed with GGA-PBE.

The value obtained for the energy relative to the elements is -46 kJ/mol of atoms.

It has space group P4/mmm (No. 123), with a = 5.237 Å, b = 5.237 Å, c = 8.946 Å, α = 90.00°, β = 90.00° and γ = 90.00°. Symmetry generates all atoms from Ba at (0.000, 0.000, 0.000), Ba at (0.000, 0.000, 0.500), In at (0.500, 0.500, 0.170), Au at (0.000, 0.500, 0.265) and Au at (0.500, 0.500, 0.500).

No. 7
An optimized crystal structure of BaInAu2, computed with GGA-PBE.

The value obtained for the energy relative to the elements is -37 kJ/mol of atoms.

It has space group I-42d (No. 122), with a = 5.423 Å, b = 5.423 Å, c = 18.457 Å, α = 90.00°, β = 90.00° and γ = 90.00°. Symmetry generates all atoms from Ba at (0.000, 0.000, 0.000), In at (0.000, 0.000, 0.500) and Au at (0.080, 0.250, 0.625).

No. 8
An optimized crystal structure of Ba2InAu, computed with GGA-PBE.

The value obtained for the energy relative to the elements is -26 kJ/mol of atoms.

It has space group I-42d (No. 122), with a = 9.184 Å, b = 9.184 Å, c = 7.862 Å, α = 90.00°, β = 90.00° and γ = 90.00°. Symmetry generates all atoms from Ba at (0.213, 0.250, 0.125), In at (0.000, 0.000, 0.500) and Au at (0.000, 0.000, 0.000).

No. 9
An optimized crystal structure of Ba2InAu7, computed with GGA-PBE.

The value obtained for the energy relative to the elements is -47 kJ/mol of atoms.

It has space group P-4m2 (No. 115), with a = 4.613 Å, b = 4.613 Å, c = 12.029 Å, α = 90.00°, β = 90.00° and γ = 90.00°. Symmetry generates all atoms from Ba at (0.000, 0.500, 0.236), In at (0.000, 0.000, 0.500), Au at (0.000, 0.000, 0.000), Au at (0.000, 0.500, 0.638), Au at (0.000, 0.500, 0.864), Au at (0.500, 0.500, 0.000) and Au at (0.500, 0.500, 0.500).

No. 10
An optimized crystal structure of BaIn3Au3, computed with GGA-PBE.

As for the relative energy among the computed polymorphs: 0.08 eV per formula unit. The value obtained for the energy relative to the elements is -34 kJ/mol of atoms.

It has space group R-3 (No. 148, hexagonal axes), with a = 9.1525 Å, b = 9.1525 Å, c = 16.2329 Å, α = 90.00°, β = 90.00° and γ = 120.00°. Symmetry generates all atoms from Ba at (0.0000, 0.0000, 0.1743), In at (0.0144, 0.7110, 0.6251) and Au at (0.0011, 0.7242, 0.4515).

No. 11
An optimized crystal structure of BaInAu2, computed with GGA-PBE.

The value obtained for the energy relative to the elements is -38 kJ/mol of atoms.

It has space group P4mm (No. 99), with a = 4.057 Å, b = 4.057 Å, c = 6.883 Å, α = 90.00°, β = 90.00° and γ = 90.00°. Symmetry generates all atoms from Ba at (0.000, 0.000, 0.000), In at (0.500, 0.500, 0.365), Au at (0.000, 0.000, 0.489) and Au at (0.500, 0.500, 0.767).

No. 12
An optimized crystal structure of BaInAu2, computed with GGA-PBE.

The value obtained for the energy relative to the elements is -39 kJ/mol of atoms.

It has space group P4/mmm (No. 123), with a = 5.232 Å, b = 5.232 Å, c = 4.060 Å, α = 90.00°, β = 90.00° and γ = 90.00°. Symmetry generates all atoms from Ba at (0.000, 0.000, 0.000), In at (0.500, 0.500, 0.000) and Au at (0.000, 0.500, 0.500).